No. 1
Entry from Alexandria via LeMat-Bulk: TaTi2Bi after structural relaxation (PBE).

The space group is Cm (No. 8) and the conventional cell measures 5.940, 3.038 and 9.292 Å, with angles of 90.00, 101.69 and 90.00 degrees. The asymmetric unit holds Ta at (0.000, 0.000, 0.000), Ti at (0.242, 0.000, 0.772), Ti at (0.373, 0.000, 0.229) and Bi at (0.290, 0.500, 0.496).

The formation energy is 0.83 eV per formula unit.

No. 2
Entry from Alexandria via LeMat-Bulk: RbInSn2Au4 after structural relaxation (PBE).

The space group is R-3m (No. 166, hexagonal axes) and the conventional cell measures 4.7569, 4.7569 and 32.5065 Å, with angles of 90.00, 90.00 and 120.00 degrees. The asymmetric unit holds Rb at (0.0000, 0.0000, 0.0000), In at (0.0000, 0.0000, 0.5000), Sn at (0.0000, 0.0000, 0.2408), Au at (0.0000, 0.0000, 0.1422) and Au at (0.0000, 0.0000, 0.4088).

The formation energy is -1.38 eV per formula unit.

No. 3
Entry from Alexandria via LeMat-Bulk: Pr2ScC2Br2 after structural relaxation (PBE).

The space group is I4/mmm (No. 139) and the conventional cell measures 4.339, 4.339 and 16.325 Å, with angles of 90.00, 90.00 and 90.00 degrees. The asymmetric unit holds Pr at (0.000, 0.000, 0.100), Sc at (0.000, 0.000, 0.500), C at (0.000, 0.500, 0.000) and Br at (0.000, 0.000, 0.317).

As for the formation energy without anion corrections: -0.79 eV/atom.

No. 4
Entry from Alexandria via LeMat-Bulk: Th8H after structural relaxation (PBE).

The space group is P-3m1 (No. 164) and the conventional cell measures 7.1174, 7.1174 and 5.9885 Å, with angles of 90.00, 90.00 and 120.00 degrees. The asymmetric unit holds Th at (0.1676, 0.3352, 0.2473), Th at (0.3333, 0.6667, 0.7439) and H at (0.0000, 0.0000, 0.5000).

As for the total energy: -6.970 eV per atom.

No. 5
Entry from Alexandria via LeMat-Bulk: Hf5CrRu4 after structural relaxation (PBE).

The space group is P4/mmm (No. 123) and the conventional cell measures 3.234, 3.234 and 16.279 Å, with angles of 90.00, 90.00 and 90.00 degrees. The asymmetric unit holds Hf at (0.000, 0.000, 0.000), Hf at (0.000, 0.000, 0.201), Hf at (0.000, 0.000, 0.401), Cr at (0.500, 0.500, 0.500), Ru at (0.500, 0.500, 0.100) and Ru at (0.500, 0.500, 0.299).

The formation energy is -6.36 eV per formula unit.

No. 6
Entry from Alexandria via LeMat-Bulk: NbCd3B after structural relaxation (PBE).

The space group is Pm-3m (No. 221) and the conventional cell measures 5.506, 5.506 and 5.506 Å, with angles of 90.00, 90.00 and 90.00 degrees. The asymmetric unit holds Nb at (0.000, 0.000, 0.000), Cd at (0.000, 0.000, 0.500) and B at (0.500, 0.500, 0.500).

The formation energy is 9.63 eV per formula unit.

No. 7
Entry from Alexandria via LeMat-Bulk: Ce2DyTm after structural relaxation (PBE).

The space group is R-3m (No. 166, hexagonal axes) and the conventional cell measures 3.4699, 3.4699 and 34.2682 Å, with angles of 90.00, 90.00 and 120.00 degrees. The asymmetric unit holds Ce at (0.0000, 0.0000, 0.2495), Dy at (0.0000, 0.0000, 0.0000) and Tm at (0.0000, 0.0000, 0.5000).

The formation energy is 0.34 eV per formula unit.

No. 8
Entry from Alexandria via LeMat-Bulk: MgNi5 after structural relaxation (PBE).

The space group is P4/mmm (No. 123) and the conventional cell measures 2.592, 2.592 and 10.528 Å, with angles of 90.00, 90.00 and 90.00 degrees. The asymmetric unit holds Mg at (0.000, 0.000, 0.000), Ni at (0.000, 0.000, 0.342), Ni at (0.500, 0.500, 0.185) and Ni at (0.500, 0.500, 0.500).

The formation energy is 0.06 eV per formula unit.

No. 9
Entry from Alexandria via LeMat-Bulk: Rb4Sr3Cl10 after structural relaxation (PBE).

The space group is I4/mmm (No. 139) and the conventional cell measures 5.695, 5.695 and 39.381 Å, with angles of 90.00, 90.00 and 90.00 degrees. The asymmetric unit holds Rb at (0.000, 0.000, 0.070), Rb at (0.000, 0.000, 0.202), Sr at (0.000, 0.000, 0.354), Sr at (0.000, 0.000, 0.500), Cl at (0.000, 0.000, 0.283), Cl at (0.000, 0.000, 0.428), Cl at (0.000, 0.500, 0.000) and Cl at (0.000, 0.500, 0.143).

As for the formation energy without anion corrections: -2.20 eV/atom.

No. 10
Entry from Alexandria via LeMat-Bulk: K4CaOs after structural relaxation (PBE).

The space group is F-43m (No. 216) and the conventional cell measures 9.929, 9.929 and 9.929 Å, with angles of 90.00, 90.00 and 90.00 degrees. The asymmetric unit holds K at (0.122, 0.122, 0.122), Ca at (0.000, 0.000, 0.500) and Os at (0.250, 0.250, 0.750).

The formation energy is 7.19 eV per formula unit.

No. 11
Entry from Alexandria via LeMat-Bulk: CaPr2SmTl4 after structural relaxation (PBE).

The space group is R-3m (No. 166, hexagonal axes) and the conventional cell measures 5.5075, 5.5075 and 27.2259 Å, with angles of 90.00, 90.00 and 120.00 degrees. The asymmetric unit holds Ca at (0.0000, 0.0000, 0.0000), Pr at (0.0000, 0.0000, 0.2544), Sm at (0.0000, 0.0000, 0.5000), Tl at (0.0000, 0.0000, 0.1268) and Tl at (0.0000, 0.0000, 0.3772).

The formation energy is -3.18 eV per formula unit.

No. 12
Entry from Alexandria via LeMat-Bulk: TcBi2OsPt after structural relaxation (PBE).

The space group is P4/mmm (No. 123) and the conventional cell measures 5.298, 5.298 and 4.760 Å, with angles of 90.00, 90.00 and 90.00 degrees. The asymmetric unit holds Tc at (0.000, 0.000, 0.000), Bi at (0.000, 0.500, 0.500), Os at (0.500, 0.500, 0.000) and Pt at (0.000, 0.000, 0.500).

The formation energy is 9.33 eV per formula unit.

No. 13
Entry from Alexandria via LeMat-Bulk: PuHfSc4 after structural relaxation (PBE).

The space group is Imm2 (No. 44) and the conventional cell measures 5.133, 6.279 and 8.788 Å, with angles of 90.00, 90.00 and 90.00 degrees. The asymmetric unit holds Pu at (0.000, 0.000, 0.000), Hf at (0.000, 0.500, 0.991), Sc at (0.000, 0.000, 0.669), Sc at (0.000, 0.247, 0.330) and Sc at (0.000, 0.500, 0.655).

The formation energy is 0.66 eV per formula unit.